Arrangement P

The following is a DFT calculation (GGA-PBE) of crystalline RbLi3Sn at its relaxed geometry.

It has space group Pm-3m (No. 221), with a = 5.392 Å, b = 5.392 Å, c = 5.392 Å, α = 90.00°, β = 90.00° and γ = 90.00°. Symmetry generates all atoms from Rb at (0.000, 0.000, 0.000), Li at (0.000, 0.500, 0.500) and Sn at (0.500, 0.500, 0.500).

Arrangement Q

The following is a DFT calculation (GGA-PBE) of crystalline RbLi3Sn at its relaxed geometry.

It has space group Pm-3m (No. 221), with a = 5.191 Å, b = 5.191 Å, c = 5.191 Å, α = 90.00°, β = 90.00° and γ = 90.00°. Symmetry generates all atoms from Rb at (0.000, 0.000, 0.000), Li at (0.000, 0.000, 0.500) and Sn at (0.500, 0.500, 0.500).

Stability, highest: arrangement P

Arrangement P

The following is a DFT calculation (GGA-PBE) of crystalline Rb2SrLi at its relaxed geometry.

It has space group I-42d (No. 122), with a = 11.393 Å, b = 11.393 Å, c = 7.843 Å, α = 90.00°, β = 90.00° and γ = 90.00°. Symmetry generates all atoms from Rb at (0.193, 0.250, 0.125), Sr at (0.000, 0.000, 0.500) and Li at (0.000, 0.000, 0.000).

Arrangement Q

The following is a DFT calculation (GGA-PBE) of crystalline Rb2SrLi at its relaxed geometry.

It has space group R-3m (No. 166, hexagonal axes), with a = 4.3622 Å, b = 4.3622 Å, c = 44.9371 Å, α = 90.00°, β = 90.00° and γ = 120.00°. Symmetry generates all atoms from Rb at (0.0000, 0.0000, 0.0964), Sr at (0.0000, 0.0000, 0.0000) and Li at (0.0000, 0.0000, 0.5000).

Arrangement R

The following is a DFT calculation (GGA-PBE) of crystalline Rb2SrLi at its relaxed geometry.

It has space group Fm-3m (No. 225), with a = 10.045 Å, b = 10.045 Å, c = 10.045 Å, α = 90.00°, β = 90.00° and γ = 90.00°. Symmetry generates all atoms from Rb at (0.250, 0.250, 0.250), Sr at (0.000, 0.000, 0.000) and Li at (0.000, 0.000, 0.500).

Stability, highest: arrangement Q

Arrangement P

The following is a DFT calculation (GGA-PBE) of crystalline RbSrLi3 at its relaxed geometry.

It has space group Pm-3m (No. 221), with a = 5.928 Å, b = 5.928 Å, c = 5.928 Å, α = 90.00°, β = 90.00° and γ = 90.00°. Symmetry generates all atoms from Rb at (0.000, 0.000, 0.000), Sr at (0.500, 0.500, 0.500) and Li at (0.000, 0.000, 0.500).

Arrangement Q

The following is a DFT calculation (GGA-PBE) of crystalline RbSrLi3 at its relaxed geometry.

It has space group Pm-3m (No. 221), with a = 6.531 Å, b = 6.531 Å, c = 6.531 Å, α = 90.00°, β = 90.00° and γ = 90.00°. Symmetry generates all atoms from Rb at (0.000, 0.000, 0.000), Sr at (0.500, 0.500, 0.500) and Li at (0.000, 0.500, 0.500).

Stability, highest: arrangement P

Arrangement P

The following is a DFT calculation (GGA-PBE) of crystalline Rb2SrLi2 at its relaxed geometry.

It has space group P4/mbm (No. 127), with a = 9.679 Å, b = 9.679 Å, c = 5.752 Å, α = 90.00°, β = 90.00° and γ = 90.00°. Symmetry generates all atoms from Rb at (0.174, 0.326, 0.000), Sr at (0.000, 0.000, 0.500) and Li at (0.116, 0.616, 0.500).

Arrangement Q

The following is a DFT calculation (GGA-PBE) of crystalline Rb2SrLi2 at its relaxed geometry.

It has space group I4/mmm (No. 139), with a = 6.454 Å, b = 6.454 Å, c = 12.921 Å, α = 90.00°, β = 90.00° and γ = 90.00°. Symmetry generates all atoms from Rb at (0.000, 0.000, 0.139), Sr at (0.000, 0.000, 0.500) and Li at (0.000, 0.500, 0.250).

Arrangement R

The following is a DFT calculation (GGA-PBE) of crystalline Rb2SrLi2 at its relaxed geometry.

It has space group P4/mbm (No. 127), with a = 11.131 Å, b = 11.131 Å, c = 4.164 Å, α = 90.00°, β = 90.00° and γ = 90.00°. Symmetry generates all atoms from Rb at (0.130, 0.370, 0.000), Sr at (0.000, 0.000, 0.000) and Li at (0.176, 0.676, 0.500).

Stability, highest: arrangement P

Arrangement P

The following is a DFT calculation (GGA-PBE) of crystalline RbSrLi2 at its relaxed geometry.

It has space group I-42d (No. 122), with a = 9.616 Å, b = 9.616 Å, c = 7.804 Å, α = 90.00°, β = 90.00° and γ = 90.00°. Symmetry generates all atoms from Rb at (0.000, 0.000, 0.000), Sr at (0.000, 0.000, 0.500) and Li at (0.250, 0.250, 0.125).

Arrangement Q

The following is a DFT calculation (GGA-PBE) of crystalline RbSrLi2 at its relaxed geometry.

It has space group P4/mmm (No. 123), with a = 6.470 Å, b = 6.470 Å, c = 4.192 Å, α = 90.00°, β = 90.00° and γ = 90.00°. Symmetry generates all atoms from Rb at (0.000, 0.000, 0.000), Sr at (0.500, 0.500, 0.000) and Li at (0.000, 0.500, 0.500).

Stability, highest: arrangement Q

Arrangement P

The following is a DFT calculation (GGA-PBE) of crystalline RbSrLi2 at its relaxed geometry.

It has space group Fm-3m (No. 225), with a = 8.923 Å, b = 8.923 Å, c = 8.923 Å, α = 90.00°, β = 90.00° and γ = 90.00°. Symmetry generates all atoms from Rb at (0.000, 0.000, 0.000), Sr at (0.000, 0.000, 0.500) and Li at (0.250, 0.250, 0.250).

Arrangement Q

The following is a DFT calculation (GGA-PBE) of crystalline RbSrLi2 at its relaxed geometry.

It has space group P4/mmm (No. 123), with a = 4.493 Å, b = 4.493 Å, c = 9.009 Å, α = 90.00°, β = 90.00° and γ = 90.00°. Symmetry generates all atoms from Rb at (0.000, 0.000, 0.000), Sr at (0.000, 0.000, 0.500) and Li at (0.500, 0.500, 0.306).

Stability, highest: arrangement Q

Arrangement P

The following is a DFT calculation (GGA-PBE) of crystalline RbSr3Li at its relaxed geometry.

It has space group Pm-3m (No. 221), with a = 7.294 Å, b = 7.294 Å, c = 7.294 Å, α = 90.00°, β = 90.00° and γ = 90.00°. Symmetry generates all atoms from Rb at (0.000, 0.000, 0.000), Sr at (0.000, 0.000, 0.500) and Li at (0.500, 0.500, 0.500).

Arrangement Q

The following is a DFT calculation (GGA-PBE) of crystalline RbSr3Li at its relaxed geometry.

It has space group Pm-3m (No. 221), with a = 6.599 Å, b = 6.599 Å, c = 6.599 Å, α = 90.00°, β = 90.00° and γ = 90.00°. Symmetry generates all atoms from Rb at (0.000, 0.000, 0.000), Sr at (0.000, 0.500, 0.500) and Li at (0.500, 0.500, 0.500).

Stability, highest: arrangement Q

Arrangement P

The following is a DFT calculation (GGA-PBE) of crystalline RbLiTa2 at its relaxed geometry.

It has space group I-42d (No. 122), with a = 3.900 Å, b = 3.900 Å, c = 24.924 Å, α = 90.00°, β = 90.00° and γ = 90.00°. Symmetry generates all atoms from Rb at (0.000, 0.000, 0.000), Li at (0.000, 0.000, 0.500) and Ta at (0.238, 0.250, 0.625).

Arrangement Q

The following is a DFT calculation (GGA-PBE) of crystalline RbLiTa2 at its relaxed geometry.

It has space group Fm-3m (No. 225), with a = 6.921 Å, b = 6.921 Å, c = 6.921 Å, α = 90.00°, β = 90.00° and γ = 90.00°. Symmetry generates all atoms from Rb at (0.000, 0.000, 0.000), Li at (0.000, 0.000, 0.500) and Ta at (0.250, 0.250, 0.250).

Stability, highest: arrangement P

Arrangement P

The following is a DFT calculation (GGA-PBE) of crystalline Rb2LiTc at its relaxed geometry.

It has space group Fm-3m (No. 225), with a = 8.731 Å, b = 8.731 Å, c = 8.731 Å, α = 90.00°, β = 90.00° and γ = 90.00°. Symmetry generates all atoms from Rb at (0.250, 0.250, 0.250), Li at (0.000, 0.000, 0.000) and Tc at (0.000, 0.000, 0.500).

Arrangement Q

The following is a DFT calculation (GGA-PBE) of crystalline Rb2LiTc at its relaxed geometry.

It has space group I-42d (No. 122), with a = 9.839 Å, b = 9.839 Å, c = 6.861 Å, α = 90.00°, β = 90.00° and γ = 90.00°. Symmetry generates all atoms from Rb at (0.249, 0.250, 0.125), Li at (0.000, 0.000, 0.500) and Tc at (0.000, 0.000, 0.000).

Stability, highest: arrangement P

Arrangement P

The following is a DFT calculation (GGA-PBE) of crystalline RbLiTc3 at its relaxed geometry.

It has space group Pm-3m (No. 221), with a = 4.729 Å, b = 4.729 Å, c = 4.729 Å, α = 90.00°, β = 90.00° and γ = 90.00°. Symmetry generates all atoms from Rb at (0.000, 0.000, 0.000), Li at (0.500, 0.500, 0.500) and Tc at (0.000, 0.000, 0.500).

Arrangement Q

The following is a DFT calculation (GGA-PBE) of crystalline RbLiTc3 at its relaxed geometry.

It has space group Pm-3m (No. 221), with a = 4.600 Å, b = 4.600 Å, c = 4.600 Å, α = 90.00°, β = 90.00° and γ = 90.00°. Symmetry generates all atoms from Rb at (0.000, 0.000, 0.000), Li at (0.500, 0.500, 0.500) and Tc at (0.000, 0.500, 0.500).

Stability, highest: arrangement Q

Arrangement P

The following is a DFT calculation (GGA-PBE) of crystalline RbLi2Te2 at its relaxed geometry.

It has space group Fddd (No. 70, origin choice 2), with a = 7.124 Å, b = 11.826 Å, c = 14.345 Å, α = 90.00°, β = 90.00° and γ = 90.00°. Symmetry generates all atoms from Rb at (0.125, 0.125, 0.125), Li at (0.125, 0.125, 0.518) and Te at (0.125, 0.327, 0.625).

Arrangement Q

The following is a DFT calculation (GGA-PBE) of crystalline RbLi2Te2 at its relaxed geometry.

It has space group P4/mbm (No. 127), with a = 8.860 Å, b = 8.860 Å, c = 3.477 Å, α = 90.00°, β = 90.00° and γ = 90.00°. Symmetry generates all atoms from Rb at (0.000, 0.000, 0.000), Li at (0.118, 0.382, 0.000) and Te at (0.166, 0.666, 0.500).

Arrangement R

The following is a DFT calculation (GGA-PBE) of crystalline RbLi2Te2 at its relaxed geometry.

It has space group P4/mbm (No. 127), with a = 9.225 Å, b = 9.225 Å, c = 3.477 Å, α = 90.00°, β = 90.00° and γ = 90.00°. Symmetry generates all atoms from Rb at (0.000, 0.000, 0.000), Li at (0.115, 0.385, 0.500) and Te at (0.158, 0.658, 0.000).

Stability, highest: arrangement P